Arrangement one

A relaxed CoIr4Os crystal, computed with PBE.

Results
* magnetization: 0.33 μB per atom
* space group: C2/m
* DOS at the Fermi energy: 1.419 states/eV/atom

Structure (CIF):
```
data_CoIr4Os
_cell_length_a 4.038
_cell_length_b 4.026
_cell_length_c 7.289
_cell_angle_alpha 73.92
_cell_angle_beta 73.92
_cell_angle_gamma 59.90
_space_group_name_H-M_alt 'P 1'
_space_group_IT_number 1
loop_
_space_group_symop_operation_xyz
'x,y,z'
loop_
_atom_site_label
_atom_site_type_symbol
_atom_site_fract_x
_atom_site_fract_y
_atom_site_fract_z
_atom_site_occupancy
Co1 Co 0.000 0.000 0.000 1
Ir1 Ir 0.625 0.626 0.123 1
Ir2 Ir 0.375 0.374 0.877 1
Ir3 Ir 0.118 0.119 0.644 1
Ir4 Ir 0.882 0.881 0.356 1
Os1 Os 0.500 0.500 0.500 1
```

***

Arrangement two

A relaxed CoIr4Os crystal, computed with PBE.

Results
* magnetization: 0.22 μB per atom
* space group: F-43m
* DOS at the Fermi energy: 1.633 states/eV/atom

Structure (CIF):
```
data_CoIr4Os
_cell_length_a 5.086
_cell_length_b 5.086
_cell_length_c 5.086
_cell_angle_alpha 60.00
_cell_angle_beta 60.00
_cell_angle_gamma 60.00
_space_group_name_H-M_alt 'P 1'
_space_group_IT_number 1
loop_
_space_group_symop_operation_xyz
'x,y,z'
loop_
_atom_site_label
_atom_site_type_symbol
_atom_site_fract_x
_atom_site_fract_y
_atom_site_fract_z
_atom_site_occupancy
Co1 Co 0.000 0.000 0.000 1
Ir1 Ir 0.876 0.375 0.375 1
Ir2 Ir 0.375 0.375 0.876 1
Ir3 Ir 0.375 0.876 0.375 1
Ir4 Ir 0.375 0.375 0.375 1
Os1 Os 0.750 0.750 0.750 1
```

***

Arrangement three

A relaxed CoIr4Os crystal, computed with PBE.

Results
* magnetization: 0.23 μB per atom
* space group: Pmmm
* DOS at the Fermi energy: 1.268 states/eV/atom

Structure (CIF):
```
data_CoIr4Os
_cell_length_a 2.716
_cell_length_b 3.818
_cell_length_c 8.088
_cell_angle_alpha 90.00
_cell_angle_beta 90.00
_cell_angle_gamma 90.00
_space_group_name_H-M_alt 'P 1'
_space_group_IT_number 1
loop_
_space_group_symop_operation_xyz
'x,y,z'
loop_
_atom_site_label
_atom_site_type_symbol
_atom_site_fract_x
_atom_site_fract_y
_atom_site_fract_z
_atom_site_occupancy
Co1 Co 0.000 0.500 0.000 1
Ir1 Ir 0.000 0.500 0.331 1
Ir2 Ir 0.500 0.000 0.161 1
Ir3 Ir 0.000 0.500 0.669 1
Ir4 Ir 0.500 0.000 0.839 1
Os1 Os 0.500 0.000 0.500 1
```

***

The least stable of them is arrangement two.

***

Arrangement one

A relaxed Co2Ir4Os crystal, computed with PBE.

Results
* magnetization: 0.00 μB per atom
* space group: I4/mmm
* DOS at the Fermi energy: 1.270 states/eV/atom

Structure (CIF):
```
data_Co2Ir4Os
_cell_length_a 7.379
_cell_length_b 5.250
_cell_length_c 5.250
_cell_angle_alpha 60.40
_cell_angle_beta 45.35
_cell_angle_gamma 45.35
_space_group_name_H-M_alt 'P 1'
_space_group_IT_number 1
loop_
_space_group_symop_operation_xyz
'x,y,z'
loop_
_atom_site_label
_atom_site_type_symbol
_atom_site_fract_x
_atom_site_fract_y
_atom_site_fract_z
_atom_site_occupancy
Co1 Co 0.000 0.500 0.500 1
Co2 Co 0.500 0.500 0.500 1
Ir1 Ir 0.500 0.500 0.000 1
Ir2 Ir 0.000 0.000 0.500 1
Ir3 Ir 0.500 0.000 0.500 1
Ir4 Ir 0.000 0.500 0.000 1
Os1 Os 0.000 0.000 0.000 1
```

***

Arrangement two

A relaxed Co2Ir4Os crystal, computed with PBE.

Results
* magnetization: 0.48 μB per atom
* space group: R-3m
* DOS at the Fermi energy: 1.107 states/eV/atom

Structure (CIF):
```
data_Co2Ir4Os
_cell_length_a 2.700
_cell_length_b 2.700
_cell_length_c 15.215
_cell_angle_alpha 84.91
_cell_angle_beta 84.91
_cell_angle_gamma 60.00
_space_group_name_H-M_alt 'P 1'
_space_group_IT_number 1
loop_
_space_group_symop_operation_xyz
'x,y,z'
loop_
_atom_site_label
_atom_site_type_symbol
_atom_site_fract_x
_atom_site_fract_y
_atom_site_fract_z
_atom_site_occupancy
Os1 Os 0.000 0.000 0.000 1
Ir1 Ir 0.859 0.859 0.424 1
Ir2 Ir 0.716 0.716 0.853 1
Ir3 Ir 0.284 0.284 0.147 1
Ir4 Ir 0.141 0.141 0.576 1
Co1 Co 0.571 0.571 0.288 1
Co2 Co 0.429 0.429 0.712 1
```

***

The least stable of them is arrangement one.

***

Arrangement one

A relaxed CoP2Ir2 crystal, computed with PBE.

Results
* magnetization: 0.34 μB per atom
* space group: I4/mmm
* DOS at the Fermi energy: 1.078 states/eV/atom

Structure (CIF):
```
data_CoP2Ir2
_cell_length_a 3.998
_cell_length_b 3.998
_cell_length_c 5.366
_cell_angle_alpha 68.13
_cell_angle_beta 68.13
_cell_angle_gamma 90.00
_space_group_name_H-M_alt 'P 1'
_space_group_IT_number 1
loop_
_space_group_symop_operation_xyz
'x,y,z'
loop_
_atom_site_label
_atom_site_type_symbol
_atom_site_fract_x
_atom_site_fract_y
_atom_site_fract_z
_atom_site_occupancy
P1 P 0.385 0.385 0.230 1
P2 P 0.615 0.615 0.770 1
Ir1 Ir 0.750 0.250 0.500 1
Ir2 Ir 0.250 0.750 0.500 1
Co1 Co 0.000 0.000 0.000 1
```

***

Arrangement two

A relaxed CoP2Ir2 crystal, computed with PBE.

Results
* magnetization: 0.21 μB per atom
* space group: P4/mbm
* DOS at the Fermi energy: 0.580 states/eV/atom

Structure (CIF):
```
data_CoP2Ir2
_cell_length_a 6.810
_cell_length_b 6.810
_cell_length_c 2.897
_cell_angle_alpha 90.00
_cell_angle_beta 90.00
_cell_angle_gamma 90.00
_space_group_name_H-M_alt 'P 1'
_space_group_IT_number 1
loop_
_space_group_symop_operation_xyz
'x,y,z'
loop_
_atom_site_label
_atom_site_type_symbol
_atom_site_fract_x
_atom_site_fract_y
_atom_site_fract_z
_atom_site_occupancy
P1 P 0.342 0.842 0.000 1
P2 P 0.842 0.658 0.000 1
P3 P 0.658 0.158 0.000 1
P4 P 0.158 0.342 0.000 1
Ir1 Ir 0.146 0.646 0.500 1
Ir2 Ir 0.646 0.854 0.500 1
Ir3 Ir 0.854 0.354 0.500 1
Ir4 Ir 0.354 0.146 0.500 1
Co1 Co 0.000 0.000 0.000 1
Co2 Co 0.500 0.500 0.000 1
```

***

The least stable of them is arrangement two.

***

Arrangement one

A relaxed CoP3Ir crystal, computed with PBE.

Results
* magnetization: 0.00 μB per atom
* space group: Pm
* DOS at the Fermi energy: 0.353 states/eV/atom

Structure (CIF):
```
data_CoP3Ir
_cell_length_a 3.737
_cell_length_b 4.317
_cell_length_c 4.709
_cell_angle_alpha 71.24
_cell_angle_beta 89.98
_cell_angle_gamma 89.98
_space_group_name_H-M_alt 'P 1'
_space_group_IT_number 1
loop_
_space_group_symop_operation_xyz
'x,y,z'
loop_
_atom_site_label
_atom_site_type_symbol
_atom_site_fract_x
_atom_site_fract_y
_atom_site_fract_z
_atom_site_occupancy
Co1 Co 0.291 0.810 0.809 1
P1 P 0.290 0.380 0.590 1
P2 P 0.791 0.571 0.973 1
P3 P 0.291 0.895 0.255 1
Ir1 Ir 0.791 0.147 0.407 1
```

***

Arrangement two

A relaxed CoP3Ir crystal, computed with PBE.

Results
* magnetization: 0.00 μB per atom
* space group: Cm
* DOS at the Fermi energy: 0.549 states/eV/atom

Structure (CIF):
```
data_CoP3Ir
_cell_length_a 4.441
_cell_length_b 3.601
_cell_length_c 9.918
_cell_angle_alpha 90.00
_cell_angle_beta 112.32
_cell_angle_gamma 90.00
_space_group_name_H-M_alt 'P 1'
_space_group_IT_number 1
loop_
_space_group_symop_operation_xyz
'x,y,z'
loop_
_atom_site_label
_atom_site_type_symbol
_atom_site_fract_x
_atom_site_fract_y
_atom_site_fract_z
_atom_site_occupancy
Co1 Co 0.489 0.000 0.656 1
Co2 Co 0.489 0.500 0.156 1
P1 P 0.924 0.000 0.586 1
P2 P 0.924 0.500 0.086 1
P3 P 0.668 0.000 0.298 1
P4 P 0.668 0.500 0.798 1
P5 P 0.202 0.000 0.419 1
P6 P 0.202 0.500 0.919 1
Ir1 Ir 0.555 0.000 0.943 1
Ir2 Ir 0.555 0.500 0.443 1
```

***

The least stable of them is arrangement two.

***

Arrangement one

A relaxed CoP3Ir crystal, computed with PBE.

Results
* magnetization: 0.00 μB per atom
* space group: P1
* DOS at the Fermi energy: 0.300 states/eV/atom

Structure (CIF):
```
data_CoP3Ir
_cell_length_a 3.654
_cell_length_b 4.389
_cell_length_c 4.999
_cell_angle_alpha 114.71
_cell_angle_beta 102.51
_cell_angle_gamma 93.18
_space_group_name_H-M_alt 'P 1'
_space_group_IT_number 1
loop_
_space_group_symop_operation_xyz
'x,y,z'
loop_
_atom_site_label
_atom_site_type_symbol
_atom_site_fract_x
_atom_site_fract_y
_atom_site_fract_z
_atom_site_occupancy
Co1 Co 0.552 0.685 0.776 1
P1 P 0.021 0.881 0.636 1
P2 P 0.152 0.671 0.047 1
P3 P 0.205 0.207 0.393 1
Ir1 Ir 0.686 0.395 0.182 1
```

***

Arrangement two

A relaxed CoP3Ir crystal, computed with PBE.

Results
* magnetization: 0.00 μB per atom
* space group: Cm
* DOS at the Fermi energy: 0.343 states/eV/atom

Structure (CIF):
```
data_CoP3Ir
_cell_length_a 5.981
_cell_length_b 3.559
_cell_length_c 8.090
_cell_angle_alpha 90.00
_cell_angle_beta 119.68
_cell_angle_gamma 90.00
_space_group_name_H-M_alt 'P 1'
_space_group_IT_number 1
loop_
_space_group_symop_operation_xyz
'x,y,z'
loop_
_atom_site_label
_atom_site_type_symbol
_atom_site_fract_x
_atom_site_fract_y
_atom_site_fract_z
_atom_site_occupancy
Co1 Co 0.791 0.000 0.039 1
Co2 Co 0.791 0.500 0.539 1
P1 P 0.900 0.000 0.718 1
P2 P 0.900 0.500 0.218 1
P3 P 0.535 0.000 0.384 1
P4 P 0.535 0.500 0.884 1
P5 P 0.151 0.000 0.032 1
P6 P 0.151 0.500 0.532 1
Ir1 Ir 0.461 0.000 0.648 1
Ir2 Ir 0.461 0.500 0.148 1
```

***

Arrangement three

A relaxed CoP3Ir crystal, computed with PBE.

Results
* magnetization: 0.00 μB per atom
* space group: Pm-3m
* DOS at the Fermi energy: 0.499 states/eV/atom

Structure (CIF):
```
data_CoP3Ir
_cell_length_a 4.242
_cell_length_b 4.242
_cell_length_c 4.242
_cell_angle_alpha 90.00
_cell_angle_beta 90.00
_cell_angle_gamma 90.00
_space_group_name_H-M_alt 'P 1'
_space_group_IT_number 1
loop_
_space_group_symop_operation_xyz
'x,y,z'
loop_
_atom_site_label
_atom_site_type_symbol
_atom_site_fract_x
_atom_site_fract_y
_atom_site_fract_z
_atom_site_occupancy
P1 P 0.000 0.500 0.000 1
P2 P 0.000 0.000 0.500 1
P3 P 0.500 0.000 0.000 1
Ir1 Ir 0.500 0.500 0.500 1
Co1 Co 0.000 0.000 0.000 1
```

***

The least stable of them is arrangement three.

***

Arrangement one

A relaxed CoP3Ir crystal, computed with PBE.

Results
* magnetization: 0.00 μB per atom
* space group: P1
* DOS at the Fermi energy: 0.352 states/eV/atom

Structure (CIF):
```
data_CoP3Ir
_cell_length_a 3.547
_cell_length_b 4.083
_cell_length_c 5.384
_cell_angle_alpha 100.28
_cell_angle_beta 90.29
_cell_angle_gamma 110.83
_space_group_name_H-M_alt 'P 1'
_space_group_IT_number 1
loop_
_space_group_symop_operation_xyz
'x,y,z'
loop_
_atom_site_label
_atom_site_type_symbol
_atom_site_fract_x
_atom_site_fract_y
_atom_site_fract_z
_atom_site_occupancy
Co1 Co 0.927 0.084 0.773 1
P1 P 0.502 0.275 0.997 1
P2 P 0.029 0.538 0.569 1
P3 P 0.783 0.847 0.116 1
Ir1 Ir 0.375 0.061 0.383 1
```

***

Arrangement two

A relaxed CoP3Ir crystal, computed with PBE.

Results
* magnetization: 0.00 μB per atom
* space group: P2/m
* DOS at the Fermi energy: 0.270 states/eV/atom

Structure (CIF):
```
data_CoP3Ir
_cell_length_a 4.731
_cell_length_b 3.484
_cell_length_c 4.780
_cell_angle_alpha 90.00
_cell_angle_beta 113.94
_cell_angle_gamma 90.00
_space_group_name_H-M_alt 'P 1'
_space_group_IT_number 1
loop_
_space_group_symop_operation_xyz
'x,y,z'
loop_
_atom_site_label
_atom_site_type_symbol
_atom_site_fract_x
_atom_site_fract_y
_atom_site_fract_z
_atom_site_occupancy
Co1 Co 0.000 0.500 0.000 1
P1 P 0.109 0.000 0.334 1
P2 P 0.891 0.000 0.666 1
P3 P 0.500 0.500 0.000 1
Ir1 Ir 0.500 0.500 0.500 1
```

***

The least stable of them is arrangement two.